Record 1
Material: Ir2PtRh
Method: DFT, PBE
State: optimized geometry

Summary:
- Calculated density: 19.3 g/cm³
- Symmetry: No. 12
- Excess energy over the best structure of this formula in the dataset: 18 meV/atom
- Final energy: -7.770 eV per atom

a b c (Å): 4.756 4.756 7.796
angles (deg): 113.96 113.96 48.16
Atoms (fractional coordinates):
Ir 0.125 0.125 0.195
Ir 0.373 0.373 0.562
Ir 0.627 0.627 0.438
Ir 0.875 0.875 0.805
Pt 0.375 0.375 0.063
Pt 0.625 0.625 0.937
Rh 0.124 0.124 0.681
Rh 0.876 0.876 0.319

Record 2
Material: IrPt2Rh
Method: DFT, PBE
State: optimized geometry

Summary:
- Calculated density: 19.0 g/cm³
- Symmetry: No. 8
- Excess energy over the best structure of this formula in the dataset: 43 meV/atom
- Final energy: -7.054 eV per atom

a b c (Å): 4.784 4.784 4.799
angles (deg): 99.62 99.62 33.70
Atoms (fractional coordinates):
Ir 0.000 0.000 0.000
Pt 0.251 0.251 0.749
Pt 0.496 0.496 0.492
Rh 0.743 0.743 0.236

Record 3
Material: IrPtRh2
Method: DFT, PBE
State: optimized geometry

Summary:
- Calculated density: 14.2 g/cm³
- Symmetry: No. 160
- Excess energy over the best structure of this formula in the dataset: 635 meV/atom
- Final energy: -6.808 eV per atom

a b c (Å): 5.863 5.863 5.863
angles (deg): 38.18 38.18 38.18
Atoms (fractional coordinates):
Ir 0.000 0.000 0.000
Pt 0.834 0.834 0.834
Rh 0.251 0.251 0.251
Rh 0.411 0.411 0.411

Record 4
Material: IrPt3Rh
Method: DFT, PBE
State: optimized geometry

Summary:
- Calculated density: 14.0 g/cm³
- Symmetry: No. 221
- Excess energy over the best structure of this formula in the dataset: 1683 meV/atom
- Final energy: -4.978 eV per atom

a b c (Å): 4.714 4.714 4.714
angles (deg): 90.00 90.00 90.00
Atoms (fractional coordinates):
Ir 0.000 0.000 0.000
Pt 0.000 0.500 0.500
Pt 0.500 0.000 0.500
Pt 0.500 0.500 0.000
Rh 0.500 0.500 0.500

Record 5
Material: Ir2PtRh
Method: DFT, PBE
State: optimized geometry

Summary:
- Calculated density: 19.3 g/cm³
- Symmetry: No. 65
- Excess energy over the best structure of this formula in the dataset: 62 meV/atom
- Final energy: -7.725 eV per atom

a b c (Å): 4.758 4.758 2.762
angles (deg): 90.00 90.00 109.72
Atoms (fractional coordinates):
Ir 0.000 0.500 0.000
Ir 0.500 0.000 0.000
Pt 0.000 0.000 0.500
Rh 0.500 0.500 0.500

Record 6
Material: Ir2PtRh
Method: DFT, PBE
State: optimized geometry

Summary:
- Calculated density: 18.8 g/cm³
- Symmetry: No. 47
- Excess energy over the best structure of this formula in the dataset: 233 meV/atom
- Final energy: -7.554 eV per atom

a b c (Å): 2.686 4.734 4.742
angles (deg): 90.00 90.00 90.00
Atoms (fractional coordinates):
Ir 0.000 0.000 0.000
Ir 0.500 0.500 0.000
Pt 0.000 0.500 0.500
Rh 0.500 0.000 0.500

Formation enthalpy at 0 K (meV per atom)
8.9; 20.0; 592.8; 1889.2; 53.1; 224.4